Material: UZnNiIr
Method: DFT, PBE
State: relaxed

Structure (POSCAR):
```
UZnNiIr
1.0
4.555 0.000 0.000
2.277 3.944 0.000
2.277 1.315 3.719
Ir U Ni Zn
1 1 1 1
direct
0.750 0.750 0.750 Ir
0.000 0.000 0.000 U
0.250 0.250 0.250 Ni
0.500 0.500 0.500 Zn
```

## Properties
E_form = -0.236 eV per atom
Calculated density = 13.78 g cm⁻³